1.
DFT (PBE) results for a geometry-optimized CaYAg4 structure.

Output
SG: Cmmm, No. 65
DFT formation energy (eV per atom): -0.27
Energy above the most stable polymorph in this dataset (eV/atom): 0.0000
Density of states at the Fermi level (states/eV per cell): 2.4
E (eV per atom): -3.586

Geometry as extended XYZ:
```
6
Lattice="2.6519 -4.6898 0.0000 2.6519 4.6898 0.0000 0.0000 0.0000 5.3018" Properties=species:S:1:pos:R:3 pbc="T T T"
Ca 0.0000 0.0000 0.0000
Y 2.6519 0.0000 2.6509
Ag 2.6519 3.0729 2.6509
Ag 2.6519 1.6035 0.0000
Ag 2.6519 -1.6035 0.0000
Ag 2.6519 -3.0729 2.6509
```

2.
DFT (PBE) results for a geometry-optimized CaY2Ag structure.

Output
SG: Fm-3m, No. 225
DFT formation energy (eV per atom): 0.09
Energy above the most stable polymorph in this dataset (eV/atom): 0.2012
Density of states at the Fermi level (states/eV per cell): 7.1
E (eV per atom): -4.358

Geometry as extended XYZ:
```
4
Lattice="0.0000 3.8463 3.8463 3.8463 0.0000 3.8463 3.8463 3.8463 0.0000" Properties=species:S:1:pos:R:3 pbc="T T T"
Ca 0.0000 0.0000 0.0000
Y 1.9232 1.9232 1.9232
Y 5.7695 5.7695 5.7695
Ag 3.8463 3.8463 3.8463
```

3.
DFT (PBE) results for a geometry-optimized CaY2Ag structure.

Output
SG: Cm, No. 8
DFT formation energy (eV per atom): -0.04
Energy above the most stable polymorph in this dataset (eV/atom): 0.0714
Density of states at the Fermi level (states/eV per cell): 5.9
E (eV per atom): -4.488

Geometry as extended XYZ:
```
4
Lattice="6.3661 -1.8811 0.0000 6.3661 1.8811 0.0000 -2.3696 0.0000 4.9576" Properties=species:S:1:pos:R:3 pbc="T T T"
Ca 0.0000 0.0000 0.0000
Y 0.9779 0.0000 3.5117
Y 4.3288 0.0000 2.0708
Ag 8.5827 0.0000 1.0538
```

4.
DFT (PBE) results for a geometry-optimized CaYAg4 structure.

Output
SG: P2/m, No. 10
DFT formation energy (eV per atom): -0.04
Energy above the most stable polymorph in this dataset (eV/atom): 0.2342
Density of states at the Fermi level (states/eV per cell): 3.1
E (eV per atom): -3.351

Geometry as extended XYZ:
```
6
Lattice="4.1793 0.0000 0.0000 0.0000 3.6730 0.0000 -0.0125 0.0000 9.7538" Properties=species:S:1:pos:R:3 pbc="T T T"
Ca 0.0000 0.0000 0.0000
Y 2.0834 1.8365 4.8769
Ag -0.0044 1.8365 7.1611
Ag 2.0819 0.0000 2.3867
Ag 2.0849 0.0000 7.3671
Ag 4.1712 1.8365 2.5927
```

5.
DFT (PBE) results for a geometry-optimized CaY2Ag structure.

Output
SG: R-3m, No. 166
DFT formation energy (eV per atom): 0.04
Energy above the most stable polymorph in this dataset (eV/atom): 0.1573
Density of states at the Fermi level (states/eV per cell): 5.8
E (eV per atom): -4.402

Geometry as extended XYZ:
```
4
Lattice="1.8571 1.0722 10.5692 -1.8571 1.0722 10.5692 0.0000 -2.1444 10.5692" Properties=species:S:1:pos:R:3 pbc="T T T"
Ca 0.0000 0.0000 0.0000
Y 0.0000 0.0000 7.4598
Y 0.0000 0.0000 24.2477
Ag 0.0000 0.0000 15.8538
```

6.
DFT (PBE) results for a geometry-optimized CaYAg2 structure.

Output
SG: P2/m, No. 10
DFT formation energy (eV per atom): -0.11
Energy above the most stable polymorph in this dataset (eV/atom): 0.2093
Density of states at the Fermi level (states/eV per cell): 2.2
E (eV per atom): -3.656

Geometry as extended XYZ:
```
4
Lattice="4.2667 0.0000 0.0000 0.0000 4.3219 0.0000 -0.0892 0.0000 6.0869" Properties=species:S:1:pos:R:3 pbc="T T T"
Ca 0.0000 0.0000 0.0000
Y 2.0888 2.1610 3.0434
Ag -0.0446 0.0000 3.0434
Ag 2.1334 2.1610 0.0000
```

7.
DFT (PBE) results for a geometry-optimized CaYAg2 structure.

Output
SG: C2/m, No. 12
DFT formation energy (eV per atom): -0.13
Energy above the most stable polymorph in this dataset (eV/atom): 0.1920
Density of states at the Fermi level (states/eV per cell): 1.4
E (eV per atom): -3.673

Geometry as extended XYZ:
```
4
Lattice="3.6550 -2.0900 0.0000 3.6550 2.0900 0.0000 -2.3922 0.0000 7.3683" Properties=species:S:1:pos:R:3 pbc="T T T"
Ca 0.0000 0.0000 0.0000
Y 2.4589 0.0000 3.6842
Ag 0.0334 0.0000 5.4548
Ag 4.8844 0.0000 1.9135
```

8.
DFT (PBE) results for a geometry-optimized CaY2Ag structure.

Output
SG: Pmmm, No. 47
DFT formation energy (eV per atom): 0.04
Energy above the most stable polymorph in this dataset (eV/atom): 0.1566
Density of states at the Fermi level (states/eV per cell): 3.8
E (eV per atom): -4.403

Geometry as extended XYZ:
```
4
Lattice="3.9697 0.0000 0.0000 0.0000 5.3349 0.0000 0.0000 0.0000 5.4637" Properties=species:S:1:pos:R:3 pbc="T T T"
Ca 0.0000 0.0000 0.0000
Y 0.0000 2.6675 2.7319
Y 1.9849 0.0000 2.7319
Ag 1.9849 2.6675 0.0000
```

9.
DFT (PBE) results for a geometry-optimized Ca2YAg4 structure.

Output
SG: I4/mmm, No. 139
DFT formation energy (eV per atom): -0.12
Density of states at the Fermi level (states/eV per cell): 5.2
E (eV per atom): -3.247

Geometry as extended XYZ:
```
7
Lattice="-2.6708 2.6708 6.5378 2.6708 -2.6708 6.5378 2.6708 2.6708 -6.5378" Properties=species:S:1:pos:R:3 pbc="T T T"
Ca 0.0000 0.0000 2.9286
Ca 0.0000 0.0000 10.1471
Y 0.0000 0.0000 6.5378
Ag 2.6708 0.0000 1.4877
Ag 2.6708 0.0000 5.0501
Ag 0.0000 2.6708 1.4877
Ag 0.0000 2.6708 5.0501
```

10.
DFT (PBE) results for a geometry-optimized CaY2Ag structure.

Output
SG: I-4m2, No. 119
DFT formation energy (eV per atom): 0.10
Energy above the most stable polymorph in this dataset (eV/atom): 0.2103
Density of states at the Fermi level (states/eV per cell): 5.8
E (eV per atom): -4.349

Geometry as extended XYZ:
```
4
Lattice="-2.3329 2.3329 5.3149 2.3329 -2.3329 5.3149 2.3329 2.3329 -5.3149" Properties=species:S:1:pos:R:3 pbc="T T T"
Ca 0.0000 0.0000 0.0000
Y 2.3329 0.0000 2.6575
Y 0.0000 0.0000 5.3149
Ag 0.0000 2.3329 2.6575
```

11.
DFT (PBE) results for a geometry-optimized CaYAg2 structure.

Output
SG: Immm, No. 71
DFT formation energy (eV per atom): 0.48
Energy above the most stable polymorph in this dataset (eV/atom): 0.8009
Density of states at the Fermi level (states/eV per cell): 3.1
E (eV per atom): -3.064

Geometry as extended XYZ:
```
4
Lattice="-1.6108 2.8893 5.8703 1.6108 -2.8893 5.8703 1.6108 2.8893 -5.8703" Properties=species:S:1:pos:R:3 pbc="T T T"
Ca 0.0000 0.0000 0.0000
Y 0.0000 0.0000 5.8703
Ag 0.0000 0.0000 2.9480
Ag 0.0000 0.0000 8.7926
```

12.
DFT (PBE) results for a geometry-optimized CaYAg2 structure.

Output
SG: Fm-3m, No. 225
DFT formation energy (eV per atom): -0.30
Energy above the most stable polymorph in this dataset (eV/atom): 0.0194
Density of states at the Fermi level (states/eV per cell): 3.7
E (eV per atom): -3.846

Geometry as extended XYZ:
```
4
Lattice="0.0000 3.6624 3.6624 3.6624 0.0000 3.6624 3.6624 3.6624 0.0000" Properties=species:S:1:pos:R:3 pbc="T T T"
Ca 0.0000 0.0000 0.0000
Y 3.6624 3.6624 3.6624
Ag 1.8312 1.8312 1.8312
Ag 5.4937 5.4937 5.4937
```

Q: Which formula does entry 6 have?
A: CaYAg2

Repeat the fourth record exactly.
DFT (PBE) results for a geometry-optimized CaYAg4 structure.

Output
SG: P2/m, No. 10
DFT formation energy (eV per atom): -0.04
Energy above the most stable polymorph in this dataset (eV/atom): 0.2342
Density of states at the Fermi level (states/eV per cell): 3.1
E (eV per atom): -3.351

Geometry as extended XYZ:
```
6
Lattice="4.1793 0.0000 0.0000 0.0000 3.6730 0.0000 -0.0125 0.0000 9.7538" Properties=species:S:1:pos:R:3 pbc="T T T"
Ca 0.0000 0.0000 0.0000
Y 2.0834 1.8365 4.8769
Ag -0.0044 1.8365 7.1611
Ag 2.0819 0.0000 2.3867
Ag 2.0849 0.0000 7.3671
Ag 4.1712 1.8365 2.5927
```

Q: E of number 5 (CaY2Ag)?
A: -4.402 eV per atom